Entry 1:
Computed, not measured: Ba2Os3RhO12 after structural relaxation at the GGA-PBE level of DFT.

Geometry as POSCAR:
```
Ba2Os3RhO12
1.0
3.631 2.096 5.706
-3.631 2.096 5.706
0.000 -4.192 5.706
Ba Os Rh O
2 3 1 12
Direct
0.134 0.134 0.134
0.866 0.866 0.866
0.000 0.500 0.500
0.500 0.000 0.500
0.500 0.500 0.000
0.500 0.500 0.500
0.155 0.590 0.590
0.191 0.191 0.577
0.191 0.577 0.191
0.410 0.410 0.845
0.410 0.845 0.410
0.423 0.809 0.809
0.577 0.191 0.191
0.590 0.155 0.590
0.590 0.590 0.155
0.809 0.423 0.809
0.809 0.809 0.423
0.845 0.410 0.410
```

- space-group type = R-3m
- energy (eV/atom) = -7.188
- raw formation energy (eV/atom) = -1.389

---

Entry 2:
Computed, not measured: AlVCrNi after structural relaxation at the GGA-PBE level of DFT.

Geometry as POSCAR:
```
AlVCrNi
1.0
0.000 2.918 2.918
2.918 0.000 2.918
2.918 2.918 0.000
Al V Cr Ni
1 1 1 1
Direct
0.000 0.000 0.000
0.500 0.500 0.500
0.250 0.250 0.250
0.750 0.750 0.750
```

- space-group type = F-43m
- energy (eV/atom) = -7.234
- energy of formation from the pure elements (eV per atom) = -0.17

---

Entry 3:
Computed, not measured: MnCd2Ru after structural relaxation at the GGA-PBE level of DFT.

Geometry as POSCAR:
```
MnCd2Ru
1.0
2.895 0.000 0.000
0.000 2.895 0.000
0.000 0.000 7.988
Mn Cd Ru
1 2 1
Direct
0.000 0.000 0.000
0.000 0.000 0.436
0.500 0.500 0.749
0.500 0.500 0.172
```

- space-group type = P4mm
- energy (eV/atom) = -4.910
- E above lowest polymorph (eV/atom) = 0.000
- energy of formation from the pure elements (eV per atom) = 0.16

---

Look up the energy of the second one.
-7.234 eV/atom

---

The lowest energy belongs to which entry?
AlVCrNi

---

The lowest energy belongs to which entry?
AlVCrNi